Crystalline KPtCl2 at its relaxed geometry. Source: Alexandria via LeMat-Bulk, functional GGA-PBE.

Values from the calculation:
Energy relative to the elements, uncorrected = -11.8 kcal/mol of atoms
Energy = -3.221 eV/atom
Total moment = 1.01 Bohr magnetons per cell

Geometry as POSCAR:
```
KPtCl2
1.0
6.500 -0.022 -0.014
5.084 4.050 -0.014
5.084 1.768 3.644
Cl Pt K
2 1 1
direct
0.477 0.477 0.477
0.023 0.023 0.023
0.750 0.750 0.750
0.250 0.250 0.250
```